Record 1
! Rb2CrF4, relaxed, DFT GGA+U; values from VASP
! Space-group type: P2_1/m (11)
! Final energy, eV per atom: -4.9492
! Crystal system: monoclinic
&SYSTEM
  ibrav = 0, nat = 14, ntyp = 3
/
ATOMIC_SPECIES
Rb 85.47 Rb.upf
Cr 52.00 Cr.upf
F 19.00 F.upf
ATOMIC_POSITIONS crystal
Rb 0.174 0.250 0.037
Rb 0.285 0.250 0.561
Rb 0.715 0.750 0.439
Rb 0.826 0.750 0.963
Cr 0.261 0.750 0.800
Cr 0.739 0.250 0.200
F 0.047 0.531 0.748
F 0.047 0.969 0.748
F 0.469 0.750 0.661
F 0.477 0.750 0.067
F 0.523 0.250 0.933
F 0.531 0.250 0.339
F 0.953 0.031 0.252
F 0.953 0.469 0.252
CELL_PARAMETERS angstrom
6.830 0.000 0.000
0.000 6.498 0.000
-2.697 0.000 7.254



Record 2
! Rb2Cr2F7, relaxed, DFT GGA+U; values from VASP
! Space-group type: C2/m (12)
! Final energy, eV per atom: -5.3686
! Crystal system: monoclinic
&SYSTEM
  ibrav = 0, nat = 11, ntyp = 3
/
ATOMIC_SPECIES
Rb 85.47 Rb.upf
Cr 52.00 Cr.upf
F 19.00 F.upf
ATOMIC_POSITIONS crystal
Rb 0.187 0.813 0.000
Rb 0.813 0.187 0.000
Cr 0.280 0.280 0.650
Cr 0.720 0.720 0.350
F 0.051 0.051 0.782
F 0.150 0.429 0.669
F 0.429 0.150 0.669
F 0.500 0.500 0.500
F 0.571 0.850 0.331
F 0.850 0.571 0.331
F 0.949 0.949 0.218
CELL_PARAMETERS angstrom
3.321 -6.889 0.000
3.321 6.889 0.000
-2.814 0.000 4.271



Record 3
! RbCr3F, relaxed, DFT GGA+U; values from VASP
! Space-group type: Pm-3m (221)
! Final energy, eV per atom: -4.7814
! Crystal system: cubic
&SYSTEM
  ibrav = 0, nat = 5, ntyp = 3
/
ATOMIC_SPECIES
Rb 85.47 Rb.upf
Cr 52.00 Cr.upf
F 19.00 F.upf
ATOMIC_POSITIONS crystal
Rb 0.000 0.000 0.000
Cr 0.000 0.500 0.500
Cr 0.500 0.000 0.500
Cr 0.500 0.500 0.000
F 0.500 0.500 0.500
CELL_PARAMETERS angstrom
5.067 0.000 0.000
0.000 5.067 0.000
0.000 0.000 5.067



Record 4
! Rb2Cr3F8, relaxed, DFT GGA+U; values from VASP
! Space-group type: C2/m (12)
! Final energy, eV per atom: -5.6503
! Crystal system: monoclinic
&SYSTEM
  ibrav = 0, nat = 13, ntyp = 3
/
ATOMIC_SPECIES
Rb 85.47 Rb.upf
Cr 52.00 Cr.upf
F 19.00 F.upf
ATOMIC_POSITIONS crystal
Rb 0.214 0.214 0.169
Rb 0.786 0.786 0.831
Cr 0.249 0.751 0.500
Cr 0.500 0.500 0.000
Cr 0.751 0.249 0.500
F 0.104 0.104 0.493
F 0.206 0.634 0.128
F 0.366 0.794 0.872
F 0.405 0.405 0.572
F 0.595 0.595 0.428
F 0.634 0.206 0.128
F 0.794 0.366 0.872
F 0.896 0.896 0.507
CELL_PARAMETERS angstrom
6.500 -3.406 0.000
6.500 3.406 0.000
-1.973 0.000 5.406



Record 5
! RbCr2F6, relaxed, DFT GGA+U; values from VASP
! Space-group type: C2/m (12)
! Final energy, eV per atom: -5.7038
! Crystal system: monoclinic
! E above lowest polymorph, meV per atom: 0
&SYSTEM
  ibrav = 0, nat = 9, ntyp = 3
/
ATOMIC_SPECIES
Rb 85.47 Rb.upf
Cr 52.00 Cr.upf
F 19.00 F.upf
ATOMIC_POSITIONS crystal
Rb 0.000 0.000 0.000
Cr 0.168 0.168 0.577
Cr 0.832 0.832 0.423
F 0.007 0.007 0.658
F 0.309 0.309 0.452
F 0.317 0.317 0.812
F 0.683 0.683 0.188
F 0.691 0.691 0.548
F 0.993 0.993 0.342
CELL_PARAMETERS angstrom
5.050 -2.121 0.000
5.050 2.121 0.000
-3.363 0.000 7.509



Record 6
! Rb2Cr5F17, relaxed, DFT GGA+U; values from VASP
! Space-group type: Cmcm (63)
! Final energy, eV per atom: -5.7567
! Crystal system: orthorhombic
&SYSTEM
  ibrav = 0, nat = 96, ntyp = 3
/
ATOMIC_SPECIES
Rb 85.47 Rb.upf
Cr 52.00 Cr.upf
F 19.00 F.upf
ATOMIC_POSITIONS crystal
Rb 0.000 0.000 0.000
Rb 0.000 0.000 0.500
Rb 0.250 0.750 0.532
Rb 0.250 0.750 0.968
Rb 0.253 0.747 0.250
Rb 0.747 0.253 0.750
Rb 0.750 0.250 0.032
Rb 0.750 0.250 0.468
Cr 0.125 0.373 0.625
Cr 0.125 0.373 0.875
Cr 0.131 0.375 0.124
Cr 0.131 0.375 0.376
Cr 0.251 0.252 0.750
Cr 0.252 0.251 0.250
Cr 0.373 0.125 0.125
Cr 0.373 0.125 0.375
Cr 0.375 0.131 0.624
Cr 0.375 0.131 0.876
Cr 0.625 0.869 0.124
Cr 0.625 0.869 0.376
Cr 0.627 0.875 0.625
Cr 0.627 0.875 0.875
Cr 0.748 0.749 0.750
Cr 0.749 0.748 0.250
Cr 0.869 0.625 0.624
Cr 0.869 0.625 0.876
Cr 0.875 0.627 0.125
Cr 0.875 0.627 0.375
F 0.011 0.398 0.603
F 0.011 0.398 0.897
F 0.018 0.982 0.250
F 0.101 0.305 0.501
F 0.101 0.305 0.999
F 0.105 0.486 0.098
F 0.105 0.486 0.402
F 0.111 0.889 0.152
F 0.111 0.889 0.348
F 0.137 0.863 0.642
F 0.137 0.863 0.858
F 0.154 0.252 0.155
F 0.154 0.252 0.345
F 0.155 0.440 0.750
F 0.165 0.440 0.250
F 0.241 0.342 0.655
F 0.241 0.342 0.845
F 0.252 0.154 0.655
F 0.252 0.154 0.845
F 0.305 0.101 0.001
F 0.305 0.101 0.499
F 0.342 0.241 0.155
F 0.342 0.241 0.345
F 0.366 0.634 0.596
F 0.366 0.634 0.904
F 0.397 0.603 0.106
F 0.397 0.603 0.394
F 0.398 0.011 0.103
F 0.398 0.011 0.397
F 0.440 0.155 0.250
F 0.440 0.165 0.750
F 0.481 0.519 0.250
F 0.486 0.105 0.598
F 0.486 0.105 0.902
F 0.514 0.895 0.098
F 0.514 0.895 0.402
F 0.519 0.481 0.750
F 0.560 0.835 0.250
F 0.560 0.845 0.750
F 0.602 0.989 0.603
F 0.602 0.989 0.897
F 0.603 0.397 0.606
F 0.603 0.397 0.894
F 0.634 0.366 0.096
F 0.634 0.366 0.404
F 0.658 0.759 0.655
F 0.658 0.759 0.845
F 0.695 0.899 0.501
F 0.695 0.899 0.999
F 0.748 0.846 0.155
F 0.748 0.846 0.345
F 0.759 0.658 0.155
F 0.759 0.658 0.345
F 0.835 0.560 0.750
F 0.845 0.560 0.250
F 0.846 0.748 0.655
F 0.846 0.748 0.845
F 0.863 0.137 0.142
F 0.863 0.137 0.358
F 0.889 0.111 0.652
F 0.889 0.111 0.848
F 0.895 0.514 0.598
F 0.895 0.514 0.902
F 0.899 0.695 0.001
F 0.899 0.695 0.499
F 0.982 0.018 0.750
F 0.989 0.602 0.103
F 0.989 0.602 0.397
CELL_PARAMETERS angstrom
3.778 -13.073 0.000
3.778 13.073 0.000
0.000 0.000 14.915